1.
Bi2Te2Rh3: relaxed, PBE.

a = 7.0345 Å, b = 7.0548 Å, c = 6.8676 Å
α = 72.47°, β = 90.00°, γ = 90.00°
With the nearest neighbours (Å) after each atom.
Element x y z (fractional)
Bi 0.8429 0.3817 0.8659  5 Rh 2.77-2.97
Bi 0.3429 0.1183 0.1341  5 Rh 2.77-2.97
Bi 0.6571 0.8817 0.8659  5 Rh 2.77-2.97
Bi 0.1571 0.6183 0.1341  5 Rh 2.77-2.97
Rh 0.0000 0.0000 0.0000  2 Te 2.64, 4 Bi 2.80, 2 Rh 2.94
Rh 0.9807 0.2513 0.2712  3 Te 2.61-2.69, 2 Bi 2.77-2.83
Rh 0.5193 0.7513 0.2712  3 Te 2.61-2.69, 2 Bi 2.77-2.83
Rh 0.0193 0.7487 0.7288  3 Te 2.61-2.69, 2 Bi 2.77-2.83
Rh 0.4807 0.2487 0.7288  3 Te 2.61-2.69, 2 Bi 2.77-2.83
Rh 0.5000 0.5000 0.0000  2 Te 2.64, 4 Bi 2.80, 2 Rh 2.94
Te 0.3424 0.6181 0.6337  4 Rh 2.61-2.69
Te 0.1576 0.1181 0.6337  4 Rh 2.61-2.69
Te 0.6576 0.3819 0.3663  4 Rh 2.61-2.69
Te 0.8424 0.8819 0.3663  4 Rh 2.61-2.69

Values from the calculation:
**Distance to the lowest polymorph of the same formula**: 0 meV per atom
**ΔE_f (raw)**: -26.36 kJ per mole of atoms
**Space group**: P2_1/c (14)


2.
Pr2TlBr: relaxed, PBE.

a = 3.8260 Å, b = 3.8260 Å, c = 9.9523 Å
α = 78.92°, β = 78.92°, γ = 60.00°
With the nearest neighbours (Å) after each atom.
Element x y z (fractional)
Tl 0.5002 0.5002 0.4994  6 Pr 3.35-3.36
Pr 0.0800 0.0800 0.7601  3 Br 3.21, 3 Tl 3.36
Pr 0.2535 0.2535 0.2396  3 Br 3.20, 3 Tl 3.35
Br 0.6664 0.6664 0.0008  6 Pr 3.20-3.21

Values from the calculation:
**Distance to the lowest polymorph of the same formula**: 66 meV per atom
**ΔE_f (raw)**: -66.50 kJ per mole of atoms
**Space group**: R3m (160)


3.
BeCu2PtN: relaxed, PBE.

a = 4.8674 Å, b = 3.6438 Å, c = 4.8674 Å
α = 90.00°, β = 90.00°, γ = 90.00°
With the nearest neighbours (Å) after each atom.
Element x y z (fractional)
Pt 0.0000 0.0000 0.0000  2 N 1.82
Cu 0.5000 0.0000 0.0000  2 Pt 2.43
Cu 0.0000 0.0000 0.5000  2 Pt 2.43
Be 0.5000 0.5000 0.5000  8 Cu 3.04
N 0.0000 0.5000 0.0000  2 Pt 1.82

Values from the calculation:
**ΔE_f (raw)**: 105.69 kJ per mole of atoms
**Space group**: P4/mmm (123)


4.
In2CuRu: relaxed, PBE.

a = 8.7581 Å, b = 8.7581 Å, c = 8.7581 Å
α = 20.47°, β = 20.47°, γ = 20.47°
With the nearest neighbours (Å) after each atom.
Element x y z (fractional)
In 0.9990 0.9990 0.9990  3 Ru 2.78, 3 Cu 2.82
In 0.5010 0.5010 0.5010  3 Ru 2.78, 3 Cu 2.82
Cu 0.7500 0.7500 0.7500  6 In 2.82, 6 Cu 3.11
Ru 0.2500 0.2500 0.2500  6 In 2.78

Values from the calculation:
**Energy relative to the elements**: 24.99 kJ/mol of atoms
**Space group**: R-3m (166)


5.
Mn5Co4Ru: relaxed, PBE.

a = 2.8768 Å, b = 2.8768 Å, c = 14.5323 Å
α = 90.00°, β = 90.00°, γ = 90.00°
With the nearest neighbours (Å) after each atom.
Element x y z (fractional)
Mn 0.5000 0.5000 0.8904  4 Co 2.47, 4 Ru 2.58
Mn 0.5000 0.5000 0.3051  8 Co 2.48-2.49
Mn 0.5000 0.5000 0.1096  4 Co 2.47, 4 Ru 2.58
Mn 0.5000 0.5000 0.5000  8 Co 2.48
Mn 0.5000 0.5000 0.6949  8 Co 2.48-2.49
Co 0.0000 0.0000 0.5972  8 Mn 2.48
Co 0.0000 0.0000 0.7936  8 Mn 2.47-2.49
Co 0.0000 0.0000 0.2064  8 Mn 2.47-2.49
Co 0.0000 0.0000 0.4028  8 Mn 2.48
Ru 0.0000 0.0000 0.0000  8 Mn 2.58, 4 Ru 2.88

Values from the calculation:
**Energy relative to the elements**: -0.10 kJ/mol of atoms
**Space group**: P4/mmm (123)


6.
MgSc2Br: relaxed, PBE.

a = 5.4730 Å, b = 5.4730 Å, c = 5.4730 Å
α = 129.96°, β = 129.96°, γ = 73.47°
With the nearest neighbours (Å) after each atom.
Element x y z (fractional)
Sc 0.0000 0.0000 0.0000  4 Br 3.19, 4 Mg 3.19, 4 Sc 3.27
Sc 0.5000 0.5000 0.0000  4 Mg 3.19, 4 Br 3.19, 4 Sc 3.27
Br 0.2500 0.7500 0.5000  8 Sc 3.19, 4 Mg 3.27
Mg 0.7500 0.2500 0.5000  8 Sc 3.19, 4 Br 3.27

Values from the calculation:
**Distance to the lowest polymorph of the same formula**: 351 meV per atom
**ΔE_f (raw)**: -5.34 kJ per mole of atoms
**Space group**: I4/mmm (139)


7.
Sc6Sb3Pb: relaxed, PBE.

a = 7.3813 Å, b = 8.2729 Å, c = 8.2729 Å
α = 94.07°, β = 90.00°, γ = 90.00°
With the nearest neighbours (Å) after each atom.
Element x y z (fractional)
Sc 0.8132 0.9416 0.5529  3 Sb 3.04-3.20, 1 Pb 3.11, 3 Sc 3.26-3.39
Sc 0.8132 0.4471 0.0584  3 Sb 3.04-3.20, 1 Pb 3.11, 3 Sc 3.26-3.39
Sc 0.1783 0.7147 0.5748  4 Sb 2.87-2.94, 1 Sc 3.17
Sc 0.1846 0.0469 0.9531  4 Sb 2.97-3.03, 1 Pb 2.98, 1 Sc 3.30
Sc 0.6846 0.9531 0.0469  4 Sb 2.97-3.03, 1 Pb 2.98, 1 Sc 3.30
Sc 0.0672 0.7840 0.2160  3 Sb 2.80-2.89, 1 Pb 2.88
Sc 0.5672 0.2160 0.7840  3 Sb 2.80-2.89, 1 Pb 2.88
Sc 0.3132 0.5529 0.9416  3 Sb 3.04-3.20, 1 Pb 3.11, 3 Sc 3.26-3.39
Sc 0.6783 0.2853 0.4252  4 Sb 2.87-2.94, 1 Sc 3.17
Sc 0.1783 0.4252 0.2853  4 Sb 2.87-2.94, 1 Sc 3.17
Sc 0.6783 0.5748 0.7147  4 Sb 2.87-2.94, 1 Sc 3.17
Sc 0.3132 0.0584 0.4471  3 Sb 3.04-3.20, 1 Pb 3.11, 3 Sc 3.26-3.39
Sb 0.9737 0.7450 0.8767  7 Sc 2.88-3.20
Sb 0.9737 0.1233 0.2550  7 Sc 2.88-3.20
Sb 0.4737 0.2550 0.1233  7 Sc 2.88-3.20
Sb 0.4737 0.8767 0.7450  7 Sc 2.88-3.20
Sb 0.8491 0.5949 0.4051  7 Sc 2.80-3.05
Sb 0.3491 0.4051 0.5949  7 Sc 2.80-3.05
Pb 0.4543 0.7511 0.2489  4 Sc 2.88-3.11
Pb 0.9543 0.2489 0.7511  4 Sc 2.88-3.11

Values from the calculation:
**ΔE_f (raw)**: -59.13 kJ per mole of atoms
**Space group**: Cmc2_1 (36)


8.
InSi2Se: relaxed, PBE.

a = 3.6764 Å, b = 3.6764 Å, c = 6.4512 Å
α = 90.00°, β = 90.00°, γ = 90.00°
With the nearest neighbours (Å) after each atom.
Element x y z (fractional)
Se 0.5000 0.5000 0.7204  1 Si 2.44
In 0.0000 0.0000 0.5452  1 Si 2.64, 4 Se 2.83
Si 0.5000 0.5000 0.0989  1 Se 2.44, 4 Si 2.61
Si 0.0000 0.0000 0.1355  4 Si 2.61, 1 In 2.64

Values from the calculation:
**ΔE_f (raw)**: 7.73 kJ per mole of atoms
**Space group**: P4mm (99)


9.
ReTc5: relaxed, PBE.

a = 7.4825 Å, b = 5.4715 Å, c = 4.3321 Å
α = 90.00°, β = 90.00°, γ = 90.00°
With the nearest neighbours (Å) after each atom.
Element x y z (fractional)
Re 0.5000 0.0000 0.7501  14 Tc 2.74-2.85
Re 0.0000 0.5000 0.2499  14 Tc 2.74-2.85
Tc 0.3328 0.7511 0.2500  5 Tc 2.50-2.75
Tc 0.6672 0.7510 0.2500  5 Tc 2.50-2.75
Tc 0.3328 0.2490 0.2500  5 Tc 2.50-2.75
Tc 0.8328 0.2510 0.7500  5 Tc 2.50-2.75
Tc 0.0000 0.0000 0.2501  2 Re 2.74, 12 Tc 2.84-2.85
Tc 0.1672 0.7490 0.7500  5 Tc 2.50-2.75
Tc 0.6672 0.2489 0.2500  5 Tc 2.50-2.75
Tc 0.5000 0.5000 0.7499  2 Re 2.74, 12 Tc 2.84-2.85
Tc 0.1672 0.2511 0.7500  5 Tc 2.50-2.75
Tc 0.8328 0.7489 0.7500  5 Tc 2.50-2.75

Values from the calculation:
**Distance to the lowest polymorph of the same formula**: 96 meV per atom
**Energy relative to the elements**: 9.44 kJ/mol of atoms
**Space group**: Immm (71)


10.
La3NdTl4S8: relaxed, PBE.

a = 8.5192 Å, b = 8.9293 Å, c = 8.5192 Å
α = 118.51°, β = 120.00°, γ = 90.00°
With the nearest neighbours (Å) after each atom.
Element x y z (fractional)
La 0.0000 0.5000 0.5000  6 S 2.89-2.90
La 0.5000 0.5000 0.0000  6 S 2.89-2.90
La 0.5000 0.5000 0.5000  6 S 2.89-2.90
S 0.2650 0.2951 0.5299  3 La 2.89
S 0.7350 0.7049 0.4701  3 La 2.89
S 0.2617 0.2956 0.0285  1 Nd 2.87, 2 La 2.90
S 0.2331 0.7044 0.4663  1 Nd 2.87, 2 La 2.90
S 0.2331 0.7044 0.9715  1 Nd 2.87, 2 La 2.90
S 0.7669 0.2956 0.5337  1 Nd 2.87, 2 La 2.90
S 0.7383 0.7044 0.9715  1 Nd 2.87, 2 La 2.90
S 0.7669 0.2956 0.0285  1 Nd 2.87, 2 La 2.90
Tl 0.5000 0.0000 0.5000  6 S 3.29-3.30
Tl 0.5000 0.0000 0.0000  6 S 3.32
Tl 0.0000 0.0000 0.0000  6 S 3.29-3.30
Tl 0.0000 0.0000 0.5000  6 S 3.29-3.30
Nd 0.0000 0.5000 0.0000  6 S 2.87

Values from the calculation:
**ΔE_f (raw)**: -145.62 kJ per mole of atoms
**Space group**: R-3m (166)


11.
NdMn3I9: relaxed, PBE.

a = 10.3947 Å, b = 11.5997 Å, c = 12.6625 Å
α = 75.07°, β = 65.77°, γ = 63.38°
With the nearest neighbours (Å) after each atom.
Element x y z (fractional)
Mn 0.9608 0.0490 0.1724  4 I 2.71-2.72
Mn 0.8179 0.5490 0.6724  4 I 2.71-2.72
Mn 0.5927 0.2475 0.7137  4 I 2.71-2.73
Mn 0.2258 0.4504 0.3371  4 I 2.70-2.72
Mn 0.4461 0.7475 0.2137  4 I 2.71-2.73
Mn 0.9867 0.9504 0.8371  4 I 2.70-2.72
I 0.8652 0.4323 0.8762  1 Mn 2.72
I 0.4846 0.4978 0.2249  2 Mn 2.71
I 0.0836 0.5761 0.5332  2 Mn 2.71-2.72
I 0.1602 0.6935 0.8303  1 Mn 2.71
I 0.2614 0.8958 0.0851  2 Mn 2.71-2.73
I 0.7927 0.9978 0.7249  2 Mn 2.71
I 0.3160 0.1935 0.3303  1 Mn 2.71
I 0.7167 0.7515 0.0577  1 Mn 2.71
I 0.8072 0.0761 0.0332  2 Mn 2.71-2.72
I 0.4741 0.2515 0.5577  1 Mn 2.71
I 0.4041 0.8030 0.4241  1 Mn 2.72
I 0.1669 0.0844 0.7151  1 Mn 2.70
I 0.3687 0.3030 0.9241  1 Mn 2.72
I 0.9453 0.2788 0.2010  1 Mn 2.71
I 0.8264 0.9323 0.3762  1 Mn 2.72
I 0.7576 0.3958 0.5851  2 Mn 2.71-2.73
I 0.0336 0.5844 0.2151  1 Mn 2.70
I 0.5749 0.7788 0.7010  1 Mn 2.71
Nd 0.4758 0.9973 0.5072  6 I 3.13-3.18
Nd 0.0197 0.4973 0.0072  6 I 3.13-3.18

Values from the calculation:
**ΔE_f (raw)**: -65.97 kJ per mole of atoms
**Space group**: Cc (9)


12.
SrMgIrO6: relaxed, PBE.

a = 5.2731 Å, b = 5.2731 Å, c = 5.3616 Å
α = 90.00°, β = 90.00°, γ = 60.00°
With the nearest neighbours (Å) after each atom.
Element x y z (fractional)
O 0.3583 0.6161 0.2996  1 Ir 1.89, 1 Mg 2.07
O 0.6161 0.0256 0.2996  1 Ir 1.89, 1 Mg 2.07
O 0.6160 0.3583 0.7003  1 Ir 1.89, 1 Mg 2.07
O 0.0256 0.3583 0.2996  1 Ir 1.89, 1 Mg 2.07
O 0.3583 0.0257 0.7003  1 Ir 1.89, 1 Mg 2.07
O 0.0256 0.6161 0.7003  1 Ir 1.89, 1 Mg 2.07
Mg 0.6666 0.6667 0.5000  6 O 2.07
Ir 0.3333 0.3333 0.5000  6 O 1.89
Sr 0.0000 0.0000 0.0000  6 O 2.53

Values from the calculation:
**ΔE_f (raw)**: -144.90 kJ per mole of atoms
**Space group**: P312 (149)


13.
K3Ac3NpSe8: relaxed, PBE.

a = 9.0201 Å, b = 9.0204 Å, c = 9.3606 Å
α = 118.81°, β = 90.00°, γ = 120.00°
With the nearest neighbours (Å) after each atom.
Element x y z (fractional)
Ac 0.5000 0.0000 0.5000  6 Se 3.11-3.13
Ac 0.0000 0.5000 0.5000  6 Se 3.11-3.13
Ac 0.5000 0.5000 0.5000  6 Se 3.11-3.13
Se 0.2216 0.4431 0.7021  1 Np 2.88, 2 Ac 3.13
Se 0.7591 0.9807 0.7021  1 Np 2.88, 2 Ac 3.13
Se 0.7785 0.0193 0.2979  1 Np 2.88, 2 Ac 3.13
Se 0.2603 0.5207 0.2811  3 Ac 3.11, 3 K 3.40
Se 0.7784 0.5569 0.2979  1 Np 2.88, 2 Ac 3.13
Se 0.2215 0.9807 0.7021  1 Np 2.88, 2 Ac 3.13
Se 0.7397 0.4793 0.7189  3 Ac 3.11, 3 K 3.40
Se 0.2409 0.0193 0.2979  1 Np 2.88, 2 Ac 3.13
K 0.0000 0.5000 0.0000  6 Se 3.40-3.42
K 0.5000 0.5000 0.0000  6 Se 3.40-3.42
K 0.0000 0.0000 0.0000  6 Se 3.40-3.42
Np 0.0000 0.0000 0.5000  6 Se 2.88

Values from the calculation:
**ΔE_f (raw)**: -159.68 kJ per mole of atoms
**Space group**: R-3m (166)


14.
La2ZrCo: relaxed, PBE.

a = 9.2501 Å, b = 9.2501 Å, c = 9.2501 Å
α = 23.87°, β = 23.87°, γ = 23.87°
With the nearest neighbours (Å) after each atom.
Element x y z (fractional)
La 0.0313 0.0313 0.0313  3 Co 2.76
La 0.2369 0.2369 0.2369  3 Zr 3.44, 6 La 3.83
Zr 0.4724 0.4724 0.4724  3 Co 2.54
Co 0.7594 0.7594 0.7594  3 Zr 2.54, 3 La 2.76

Values from the calculation:
**Distance to the lowest polymorph of the same formula**: 34 meV per atom
**Energy relative to the elements**: 3.92 kJ/mol of atoms
**Space group**: R3m (160)


15.
ZnSb2OsC: relaxed, PBE.

a = 5.0277 Å, b = 4.6125 Å, c = 5.0277 Å
α = 90.00°, β = 90.00°, γ = 90.00°
With the nearest neighbours (Å) after each atom.
Element x y z (fractional)
Os 0.0000 0.5000 0.0000  2 Zn 2.31
C 0.5000 0.5000 0.5000  8 Sb 3.41, 4 Os 3.56
Zn 0.0000 0.0000 0.0000  2 Os 2.31, 4 Sb 2.51
Sb 0.5000 0.0000 0.0000  2 Zn 2.51
Sb 0.0000 0.0000 0.5000  2 Zn 2.51

Values from the calculation:
**ΔE_f (raw)**: 241.68 kJ per mole of atoms
**Space group**: P4/mmm (123)


16.
LaCoAs: relaxed, PBE.

a = 4.4799 Å, b = 4.4799 Å, c = 4.4799 Å
α = 60.00°, β = 60.00°, γ = 60.00°
With the nearest neighbours (Å) after each atom.
Element x y z (fractional)
As 0.5000 0.5000 0.5000  4 Co 2.74
La 0.0000 0.0000 0.0000  4 Co 2.74
Co 0.7500 0.7500 0.7500  4 As 2.74, 4 La 2.74

Values from the calculation:
**Energy relative to the elements**: -57.78 kJ/mol of atoms
**Space group**: F-43m (216)


17.
NpB3C: relaxed, PBE.

a = 3.9937 Å, b = 7.3446 Å, c = 6.8131 Å
α = 87.48°, β = 90.00°, γ = 90.00°
With the nearest neighbours (Å) after each atom.
Element x y z (fractional)
B 0.1047 0.6044 0.9928  1 C 1.64, 3 B 1.69-1.77
B 0.2120 0.2457 0.9826  2 B 1.69-1.74, 1 C 1.71
B 0.7880 0.7543 0.0174  2 B 1.69-1.74, 1 C 1.71
B 0.2880 0.7457 0.4826  2 B 1.69-1.74, 1 C 1.71
B 0.6047 0.8956 0.5072  1 C 1.64, 3 B 1.69-1.77
B 0.5822 0.6979 0.6657  2 C 1.63, 2 B 1.74-1.77
B 0.3953 0.1044 0.4928  1 C 1.64, 3 B 1.69-1.77
B 0.9178 0.1979 0.1657  2 C 1.63, 2 B 1.74-1.77
B 0.8953 0.3956 0.0072  1 C 1.64, 3 B 1.69-1.77
B 0.7120 0.2543 0.5174  2 B 1.69-1.74, 1 C 1.71
B 0.0822 0.8021 0.8343  2 C 1.63, 2 B 1.74-1.77
B 0.4178 0.3021 0.3343  2 C 1.63, 2 B 1.74-1.77
Np 0.1424 0.4459 0.6481  7 B 2.42-2.67, 1 Np 2.42, 1 C 2.59
Np 0.8576 0.5541 0.3519  7 B 2.42-2.67, 1 Np 2.42, 1 C 2.59
Np 0.6424 0.0541 0.8519  7 B 2.42-2.67, 1 Np 2.42, 1 C 2.59
Np 0.3576 0.9459 0.1481  7 B 2.42-2.67, 1 Np 2.42, 1 C 2.59
C 0.5652 0.2991 0.1112  4 B 1.63-1.71
C 0.9348 0.7991 0.6112  4 B 1.63-1.71
C 0.4348 0.7009 0.8888  4 B 1.63-1.71
C 0.0652 0.2009 0.3888  4 B 1.63-1.71

Values from the calculation:
**Energy relative to the elements**: 19.47 kJ/mol of atoms
**Space group**: P2_1/c (14)


18.
TaAlRe2: relaxed, PBE.

a = 7.1427 Å, b = 7.1427 Å, c = 5.7172 Å
α = 51.34°, β = 51.34°, γ = 90.00°
With the nearest neighbours (Å) after each atom.
Element x y z (fractional)
Al 0.5000 0.5000 0.0000  4 Re 2.61, 2 Ta 2.68
Al 0.2500 0.7500 0.5000  4 Re 2.61, 2 Ta 2.68
Ta 0.7500 0.2500 0.5000  4 Re 2.62, 2 Al 2.68
Ta 0.0000 0.0000 0.0000  4 Re 2.62, 2 Al 2.68
Re 0.3750 0.3760 0.7500  2 Al 2.61, 2 Ta 2.62, 2 Re 2.68
Re 0.1260 0.6250 0.2500  2 Al 2.61, 2 Ta 2.62, 2 Re 2.68
Re 0.8750 0.8740 0.7500  2 Al 2.61, 2 Ta 2.62, 2 Re 2.68
Re 0.6240 0.1250 0.2500  2 Al 2.61, 2 Ta 2.62, 2 Re 2.68

Values from the calculation:
**Energy relative to the elements**: 73.78 kJ/mol of atoms
**Space group**: I-42d (122)


19.
LaCrSiSe2: relaxed, PBE.

a = 4.9872 Å, b = 5.5293 Å, c = 4.9872 Å
α = 90.00°, β = 90.00°, γ = 90.00°
With the nearest neighbours (Å) after each atom.
Element x y z (fractional)
Se 0.5000 0.0000 0.0000  2 Si 2.49
Se 0.0000 0.0000 0.5000  2 Si 2.49
Si 0.0000 0.0000 0.0000  4 Se 2.49, 2 La 2.76
La 0.0000 0.5000 0.0000  2 Si 2.76
Cr 0.5000 0.5000 0.5000  4 La 3.53, 8 Se 3.72

Values from the calculation:
**ΔE_f (raw)**: 32.45 kJ per mole of atoms
**Space group**: P4/mmm (123)


20.
TbPm3Dy2Te6: relaxed, PBE.

a = 4.3793 Å, b = 8.8968 Å, c = 9.8889 Å
α = 103.69°, β = 102.79°, γ = 90.00°
With the nearest neighbours (Å) after each atom.
Element x y z (fractional)
Dy 0.1663 0.3325 0.3325  6 Te 3.07-3.08
Dy 0.8337 0.6675 0.6675  6 Te 3.07-3.08
Te 0.0024 0.2459 0.0048  1 Dy 3.07, 2 Tb 3.09, 3 Pm 3.15-3.16
Te 0.6653 0.0888 0.3306  2 Dy 3.08, 1 Tb 3.09, 3 Pm 3.16
Te 0.3310 0.4222 0.6619  3 Dy 3.08, 3 Pm 3.16-3.17
Te 0.9976 0.7541 0.9952  1 Dy 3.07, 2 Tb 3.09, 3 Pm 3.15-3.16
Te 0.3347 0.9112 0.6694  2 Dy 3.08, 1 Tb 3.09, 3 Pm 3.16
Te 0.6690 0.5778 0.3381  3 Dy 3.08, 3 Pm 3.16-3.17
Pm 0.1659 0.8329 0.3317  6 Te 3.15-3.17
Pm 0.8341 0.1671 0.6683  6 Te 3.15-3.17
Pm 0.5000 0.5000 0.0000  6 Te 3.16
Tb 0.5000 0.0000 0.0000  6 Te 3.09

Values from the calculation:
**ΔE_f (raw)**: -130.39 kJ per mole of atoms
**Space group**: C2/m (12)